Mg3TlSb3 GGA-PBE optimized geometry; crystal system = cubic; SG = Pm-3n, No. 223; density = 4.22 g/cm3
1.0
-4.4560 -5.0963 4.1996
-0.4528 -4.8185 -6.3278
6.5881 -3.7781 2.4055
Mg Sb Tl
6 6 2
direct
0.0000 0.5000 0.7500
0.5000 0.2500 0.0000
0.5000 0.7500 0.0000
0.2500 0.0000 0.5000
0.0000 0.5000 0.2500
0.7500 0.0000 0.5000
0.7500 0.5000 0.0000
0.2500 0.5000 0.0000
0.5000 0.0000 0.7500
0.5000 0.0000 0.2500
0.0000 0.7500 0.5000
0.0000 0.2500 0.5000
0.0000 0.0000 0.0000
0.5000 0.5000 0.5000

---

MgTlSb2 GGA-PBE optimized geometry; crystal system = monoclinic; SG = Cm, No. 8; density = 6.64 g/cm3; offset from the most stable computed form = 24.6 meV/atom
1.0
7.7881 0.0850 -0.0339
7.0771 3.2520 -0.0339
0.5826 0.1308 4.7704
Mg Tl Sb
1 1 2
direct
0.2972 0.2972 0.3267
0.5536 0.5536 0.4078
0.7236 0.7236 0.8152
0.9256 0.9256 0.9503

---

Mg2TlSb2 GGA-PBE optimized geometry; crystal system = monoclinic; SG = C2/m, No. 12; density = 5.45 g/cm3
1.0
-4.2733 -0.1157 -2.5101
2.5475 -5.5590 -4.0806
-6.1569 1.3074 10.4215
Sb Tl Mg
4 2 4
direct
0.2500 0.3928 0.6125
0.7500 0.8923 0.1123
0.7500 0.6072 0.3875
0.2500 0.1077 0.8877
0.7500 0.2500 0.7498
0.2500 0.7500 0.2502
0.2500 0.8024 0.9612
0.7500 0.1976 0.0388
0.7500 0.3020 0.4610
0.2500 0.6980 0.5390

---

| no. | raw formation energy (eV per atom) | M_tot (Bohr magnetons per cell) |
| --- | --- | --- |
| 1 | 0.014 | 0.00 |
| 2 | -0.055 | 0.00 |
| 3 | -0.212 | 0.00 |